Entry from Alexandria: a relaxed PuScZn crystal (GGA-PBE).

POSCAR file:
```
PuScZn
1.0
-1.5469 0.0793 3.1449
-3.9265 -1.8906 -1.8837
3.4553 -7.1009 -0.0754
Pu Zn Sc
2 2 2
direct
0.7642 0.2500 0.5284
0.2358 0.7500 0.4716
0.5727 0.7500 0.1455
0.4273 0.2500 0.8545
0.0778 0.2500 0.1555
0.9222 0.7500 0.8445
```

As for the energy relative to the lowest polymorph listed for this composition: 0.000 eV per atom. The calculation puts the formation energy from the elements at -0.100 eV per atom.

---

Entry from Alexandria: a relaxed PuSc2Zn crystal (GGA-PBE).

POSCAR file:
```
PuSc2Zn
1.0
-0.0599 0.8053 3.2005
-2.8565 -0.0211 1.6540
0.4747 -9.0866 3.9974
Sc Zn Pu
2 1 1
direct
0.2595 0.2595 0.2216
0.0739 0.0739 0.7784
0.6664 0.6664 0.0009
0.5003 0.5003 0.4991
```

As for the energy relative to the lowest polymorph listed for this composition: 0.095 eV per atom. The calculation puts the formation energy from the elements at -0.006 eV per atom.